*a*
Below is a geometry-optimized AsRuBr2 structure, with properties calculated at the GGA-PBEsol level.

a b c (Å): 11.8661 11.8661 11.8661
angles (deg): 14.06 14.06 14.06
Last column: nearest neighbours and their distance in Å.
Fractional coordinates of all 4 atoms:
As (0.0000, 0.0000, 0.0000)  6 As 2.90
Ru (0.5000, 0.5000, 0.5000)  2 Br 2.35
Br (0.4334, 0.4334, 0.4334)  1 Ru 2.35
Br (0.5666, 0.5666, 0.5666)  1 Ru 2.35

Output
Space-group type ... R-3m, No. 166
Size of the total moment ... 0.000 μB/atom

*b*
Below is a geometry-optimized AsRuBr2 structure, with properties calculated at the GGA-PBEsol level.

a b c (Å): 7.2677 7.2677 4.1172
angles (deg): 100.49 100.49 25.27
Last column: nearest neighbours and their distance in Å.
Fractional coordinates of all 4 atoms:
As (0.0000, 0.0000, 0.0000)  4 Ru 2.60, 2 Br 2.65
Ru (0.5000, 0.5000, 0.5000)  4 As 2.60, 4 Br 2.66
Br (0.1502, 0.1502, 0.7015)  1 As 2.65, 2 Ru 2.66
Br (0.8498, 0.8498, 0.2985)  1 As 2.65, 2 Ru 2.66

Output
Space-group type ... C2/m, No. 12
Size of the total moment ... 0.058 μB/atom

*c*
Below is a geometry-optimized AsRuBr2 structure, with properties calculated at the GGA-PBEsol level.

a b c (Å): 6.8712 6.8712 6.8712
angles (deg): 96.53 96.53 140.60
Last column: nearest neighbours and their distance in Å.
Fractional coordinates of all 8 atoms:
As (0.0000, 0.0000, 0.0000)  2 Ru 2.32
As (0.7500, 0.2500, 0.5000)  2 Ru 2.32
Ru (0.2500, 0.7500, 0.5000)  2 As 2.32, 4 Br 2.56
Ru (0.5000, 0.5000, 0.0000)  2 As 2.32, 4 Br 2.56
Br (0.2665, 0.1250, 0.6415)  2 Ru 2.56
Br (0.3750, 0.7335, 0.8585)  2 Ru 2.56
Br (0.4835, 0.6250, 0.3585)  2 Ru 2.56
Br (0.8750, 0.5165, 0.1415)  2 Ru 2.56

Output
Space-group type ... I-42d, No. 122
Size of the total moment ... 0.008 μB/atom

*d*
Below is a geometry-optimized AsRuBr2 structure, with properties calculated at the GGA-PBEsol level.

a b c (Å): 3.1127 4.3967 5.5704
angles (deg): 90.00 90.00 90.00
Last column: nearest neighbours and their distance in Å.
Fractional coordinates of all 4 atoms:
As (0.0000, 0.0000, 0.0000)  4 Br 2.69
Ru (0.5000, 0.0000, 0.5000)  4 Br 2.69
Br (0.0000, 0.5000, 0.5000)  4 Ru 2.69
Br (0.5000, 0.5000, 0.0000)  4 As 2.69

Output
Space-group type ... Pmmm, No. 47
Size of the total moment ... 0.235 μB/atom

Quick ranking, most stable first: *c*, *b*, *a*, *d*.

*a*
Below is a geometry-optimized ZrSbAsBr2 structure, with properties calculated at the GGA-PBEsol level.

a b c (Å): 5.2602 5.2602 5.4491
angles (deg): 90.00 90.00 90.00
Last column: nearest neighbours and their distance in Å.
Fractional coordinates of all 5 atoms:
Zr (0.0000, 0.0000, 0.0000)  4 As 3.72, 8 Br 3.79
Sb (0.5000, 0.5000, 0.5000)  4 Br 2.63, 2 As 2.72
As (0.5000, 0.5000, 0.0000)  2 Sb 2.72
Br (0.0000, 0.5000, 0.5000)  2 Sb 2.63
Br (0.5000, 0.0000, 0.5000)  2 Sb 2.63

Output
Space-group type ... P4/mmm, No. 123
Size of the total moment ... 0.391 μB/atom

*b*
Below is a geometry-optimized ZrSbAsBr2 structure, with properties calculated at the GGA-PBEsol level.

a b c (Å): 5.0833 5.0833 5.4758
angles (deg): 90.00 90.00 90.00
Last column: nearest neighbours and their distance in Å.
Fractional coordinates of all 5 atoms:
Zr (0.0000, 0.0000, 0.0000)  4 Br 2.54, 2 As 2.74
Sb (0.5000, 0.5000, 0.5000)  4 As 3.59, 8 Br 3.74
As (0.0000, 0.0000, 0.5000)  2 Zr 2.74
Br (0.0000, 0.5000, 0.0000)  2 Zr 2.54
Br (0.5000, 0.0000, 0.0000)  2 Zr 2.54

Output
Space-group type ... P4/mmm, No. 123
Size of the total moment ... 0.264 μB/atom

Quick ranking, most stable first: *b*, *a*.

*a*
Below is a geometry-optimized SnAsSeBr2 structure, with properties calculated at the GGA-PBEsol level.

a b c (Å): 5.3533 5.3533 5.4202
angles (deg): 90.00 90.00 90.00
Last column: nearest neighbours and their distance in Å.
Fractional coordinates of all 5 atoms:
Sn (0.0000, 0.0000, 0.0000)  4 Br 2.68, 2 Se 2.71
As (0.5000, 0.5000, 0.5000)  4 Se 3.79, 8 Br 3.81
Se (0.0000, 0.0000, 0.5000)  2 Sn 2.71
Br (0.0000, 0.5000, 0.0000)  2 Sn 2.68
Br (0.5000, 0.0000, 0.0000)  2 Sn 2.68

Output
Space-group type ... P4/mmm, No. 123
Size of the total moment ... 0.369 μB/atom

*b*
Below is a geometry-optimized SnAsSeBr2 structure, with properties calculated at the GGA-PBEsol level.

a b c (Å): 5.2438 5.2438 5.5703
angles (deg): 90.00 90.00 90.00
Last column: nearest neighbours and their distance in Å.
Fractional coordinates of all 5 atoms:
Sn (0.0000, 0.0000, 0.0000)  4 Br 2.62, 2 As 2.79
As (0.0000, 0.0000, 0.5000)  2 Sn 2.79
Se (0.5000, 0.5000, 0.5000)  4 As 3.71, 8 Br 3.83
Br (0.0000, 0.5000, 0.0000)  2 Sn 2.62
Br (0.5000, 0.0000, 0.0000)  2 Sn 2.62

Output
Space-group type ... P4/mmm, No. 123
Size of the total moment ... 0.073 μB/atom

Quick ranking, most stable first: *a*, *b*.

*a*
Below is a geometry-optimized TcAsSe2Br structure, with properties calculated at the GGA-PBEsol level.

a b c (Å): 4.7476 4.7476 4.9526
angles (deg): 90.00 90.00 90.00
Last column: nearest neighbours and their distance in Å.
Fractional coordinates of all 5 atoms:
Tc (0.0000, 0.0000, 0.0000)  4 Se 2.37, 2 Br 2.48
As (0.5000, 0.5000, 0.5000)  4 Br 3.36, 8 Se 3.43
Se (0.0000, 0.5000, 0.0000)  2 Tc 2.37
Se (0.5000, 0.0000, 0.0000)  2 Tc 2.37
Br (0.0000, 0.0000, 0.5000)  2 Tc 2.48

Output
Space-group type ... P4/mmm, No. 123
Size of the total moment ... 0.000 μB/atom

*b*
Below is a geometry-optimized TcAsSe2Br structure, with properties calculated at the GGA-PBEsol level.

a b c (Å): 4.9689 4.9689 5.0497
angles (deg): 90.00 90.00 90.00
Last column: nearest neighbours and their distance in Å.
Fractional coordinates of all 5 atoms:
Tc (0.0000, 0.0000, 0.0000)  4 As 3.51, 8 Se 3.54
As (0.5000, 0.5000, 0.0000)  2 Br 2.52
Se (0.0000, 0.5000, 0.5000)  2 Br 2.48
Se (0.5000, 0.0000, 0.5000)  2 Br 2.48
Br (0.5000, 0.5000, 0.5000)  4 Se 2.48, 2 As 2.52

Output
Space-group type ... P4/mmm, No. 123
Size of the total moment ... 0.751 μB/atom

Quick ranking, most stable first: *a*, *b*.

*a*
Below is a geometry-optimized TlAsSeBr2 structure, with properties calculated at the GGA-PBEsol level.

a b c (Å): 5.3501 5.3501 4.9850
angles (deg): 90.00 90.00 90.00
Last column: nearest neighbours and their distance in Å.
Fractional coordinates of all 5 atoms:
Tl (0.0000, 0.0000, 0.0000)  8 Br 3.66, 4 Se 3.78
As (0.5000, 0.5000, 0.5000)  2 Se 2.49, 4 Br 2.68
Se (0.5000, 0.5000, 0.0000)  2 As 2.49
Br (0.0000, 0.5000, 0.5000)  2 As 2.68
Br (0.5000, 0.0000, 0.5000)  2 As 2.68

Output
Space-group type ... P4/mmm, No. 123
Size of the total moment ... 0.000 μB/atom

*b*
Below is a geometry-optimized TlAsSeBr2 structure, with properties calculated at the GGA-PBEsol level.

a b c (Å): 5.4150 5.4150 5.0196
angles (deg): 90.00 90.00 90.00
Last column: nearest neighbours and their distance in Å.
Fractional coordinates of all 5 atoms:
Tl (0.0000, 0.0000, 0.0000)  8 Br 3.69, 4 As 3.83
As (0.5000, 0.5000, 0.0000)  2 Se 2.51
Se (0.5000, 0.5000, 0.5000)  2 As 2.51, 4 Br 2.71
Br (0.0000, 0.5000, 0.5000)  2 Se 2.71
Br (0.5000, 0.0000, 0.5000)  2 Se 2.71

Output
Space-group type ... P4/mmm, No. 123
Size of the total moment ... 0.000 μB/atom

Quick ranking, most stable first: *a*, *b*.

*a*
Below is a geometry-optimized TaAs2Br structure, with properties calculated at the GGA-PBEsol level.

a b c (Å): 4.8269 4.8269 6.5359
angles (deg): 105.86 105.86 42.52
Last column: nearest neighbours and their distance in Å.
Fractional coordinates of all 4 atoms:
Ta (0.0000, 0.0000, 0.0000)  5 As 2.56-2.68, 2 Br 2.70
As (0.5494, 0.5494, 0.3013)  1 As 2.50, 2 Ta 2.57
As (0.7165, 0.7165, 0.0566)  1 As 2.50, 3 Ta 2.56-2.68
Br (0.3452, 0.3452, 0.6972)  2 Ta 2.70

Output
Space-group type ... Cm, No. 8
Size of the total moment ... 0.000 μB/atom

*b*
Below is a geometry-optimized TaAs2Br structure, with properties calculated at the GGA-PBEsol level.

a b c (Å): 3.2964 3.2964 7.3385
angles (deg): 90.00 90.00 90.00
Last column: nearest neighbours and their distance in Å.
Fractional coordinates of all 4 atoms:
Ta (0.0000, 0.0000, 0.0000)  5 As 2.68, 4 Br 2.92
As (0.0000, 0.0000, 0.3651)  1 Ta 2.68, 4 As 2.70
As (0.5000, 0.5000, 0.1790)  4 Ta 2.68, 4 As 2.70
Br (0.5000, 0.5000, 0.7592)  4 Ta 2.92, 1 As 3.08

Output
Space-group type ... P4mm, No. 99
Size of the total moment ... 0.000 μB/atom

Quick ranking, most stable first: *a*, *b*.